1.
# Sm3YSn2 (PBE-GGA, relaxed)
data_Sm3YSn2
_symmetry_space_group_name_H-M 'C 1 2/m 1'
_symmetry_Int_Tables_number 12
_cell_length_a 18.1891
_cell_length_b 4.5818
_cell_length_c 9.7864
_cell_angle_alpha 90.00
_cell_angle_beta 115.32
_cell_angle_gamma 90.00
loop_
_symmetry_equiv_pos_as_xyz
'x,y,z'
'-x,-y,-z'
'-x,y,-z'
'x,-y,z'
'x+1/2,y+1/2,z'
'-x+1/2,-y+1/2,-z'
'-x+1/2,y+1/2,-z'
'x+1/2,-y+1/2,z'
loop_
_atom_site_label
_atom_site_type_symbol
_atom_site_fract_x
_atom_site_fract_y
_atom_site_fract_z
Sm1 Sm 0.0526 0.0000 0.1885
Sm2 Sm 0.1500 0.5000 0.9811
Sm3 Sm 0.1909 0.5000 0.3907
Y1 Y 0.1141 0.0000 0.6212
Sn1 Sn 0.0040 0.5000 0.3537
Sn2 Sn 0.2471 0.0000 0.2217
# uncorrected energy	-5.29	eV/atom
# E_form	-516	meV per atom



2.
# YOsBr4 (PBE-GGA, relaxed)
data_YOsBr4
_symmetry_space_group_name_H-M 'F -4 3 m'
_symmetry_Int_Tables_number 216
_symmetry_space_group_name_Hall 'F -4 2 3'
_cell_length_a 8.6058
_cell_length_b 8.6058
_cell_length_c 8.6058
_cell_angle_alpha 90.00
_cell_angle_beta 90.00
_cell_angle_gamma 90.00
loop_
_atom_site_label
_atom_site_type_symbol
_atom_site_fract_x
_atom_site_fract_y
_atom_site_fract_z
Y1 Y 0.0000 0.0000 0.0000
Os1 Os 0.2500 0.2500 0.2500
Br1 Br 0.1247 0.1247 0.6247
# formation energy without anion corrections	0.96	eV per atom
# uncorrected energy	-3.10	eV/atom



3.
# InBi3N (PBE-GGA, relaxed)
data_InBi3N
_symmetry_space_group_name_H-M 'P m -3 m'
_symmetry_Int_Tables_number 221
_symmetry_space_group_name_Hall '-P 4 2 3'
_cell_length_a 5.0329
_cell_length_b 5.0329
_cell_length_c 5.0329
_cell_angle_alpha 90.00
_cell_angle_beta 90.00
_cell_angle_gamma 90.00
loop_
_atom_site_label
_atom_site_type_symbol
_atom_site_fract_x
_atom_site_fract_y
_atom_site_fract_z
In1 In 0.0000 0.0000 0.0000
Bi1 Bi 0.0000 0.5000 0.5000
N1 N 0.5000 0.5000 0.5000
# formation energy without anion corrections	0.49	eV per atom
# uncorrected energy	-4.05	eV/atom



4.
# TeMoPb (PBE-GGA, relaxed)
data_TeMoPb
_symmetry_space_group_name_H-M 'F -4 3 m'
_symmetry_Int_Tables_number 216
_symmetry_space_group_name_Hall 'F -4 2 3'
_cell_length_a 6.8082
_cell_length_b 6.8082
_cell_length_c 6.8082
_cell_angle_alpha 90.00
_cell_angle_beta 90.00
_cell_angle_gamma 90.00
loop_
_atom_site_label
_atom_site_type_symbol
_atom_site_fract_x
_atom_site_fract_y
_atom_site_fract_z
Te1 Te 0.0000 0.0000 0.0000
Mo1 Mo 0.2500 0.2500 0.2500
Pb1 Pb 0.0000 0.0000 0.5000
# formation energy without anion corrections	0.57	eV per atom
# uncorrected energy	-5.32	eV/atom



Let's list volume in order: 30.7; 26.6; 25.5; 26.3 Å³/atom.
Let's list M_tot in order: 0.295; 3.566; 0.000; 1.950 μB/f.u..
Let's list density of states at the Fermi level in order: 1.11; 1.89; 0.96; 0.60 states/eV per atom.